{"formula": "AcBeInPd6", "functional": "PBE", "state": "relaxed", "spacegroup": "Imma", "formation_energy_kj_per_mol_atoms": -38.6, "lattice": [[-5.053, -4.211, 1.408], [-0.557, -2.108, -8.302], [6.561, -1.071, 4.269]], "species": ["Ac", "Ac", "Be", "Be", "In", "In", "Pd", "Pd", "Pd", "Pd", "Pd", "Pd", "Pd", "Pd", "Pd", "Pd", "Pd", "Pd"], "fractional_positions": [[0.711, 0.461, 0.421], [0.289, 0.539, 0.579], [0.500, 0.500, 0.000], [0.500, 0.000, 0.000], [0.500, 0.000, 0.500], [0.000, 0.000, 0.500], [0.565, 0.815, 0.129], [0.005, 0.255, 0.010], [0.903, 0.124, 0.236], [0.333, 0.612, 0.236], [0.333, 0.124, 0.236], [0.903, 0.612, 0.236], [0.435, 0.185, 0.871], [0.995, 0.745, 0.990], [0.097, 0.876, 0.764], [0.667, 0.388, 0.764], [0.667, 0.876, 0.764], [0.097, 0.388, 0.764]]}

=====

{"formula": "BaYW2", "functional": "PBE", "state": "relaxed", "spacegroup": "Fm-3m", "relative_energy_mev_per_atom": 1090.3, "formation_energy_kj_per_mol_atoms": 159.0, "lattice": [[0.000, 3.630, 3.630], [3.630, 0.000, 3.630], [3.630, 3.630, 0.000]], "species": ["Y", "Ba", "W", "W"], "fractional_positions": [[0.000, 0.000, 0.000], [0.500, 0.500, 0.500], [0.250, 0.250, 0.250], [0.750, 0.750, 0.750]]}

=====

{"formula": "Tl2CoSi", "functional": "PBE", "state": "relaxed", "spacegroup": "Cm", "relative_energy_mev_per_atom": 20.7, "raw_formation_energy_ev_per_fu": 0.69, "lattice": [[-3.130, 0.243, 2.795], [-0.753, -1.561, 3.829], [2.059, 5.333, 4.578]], "species": ["Co", "Si", "Tl", "Tl"], "fractional_positions": [[0.485, 0.485, 0.374], [0.190, 0.190, 0.375], [0.995, 0.995, 0.052], [0.831, 0.831, 0.698]]}

=====

{"formula": "TlCoP2S", "functional": "PBE", "state": "relaxed", "spacegroup": "P4/mmm", "relative_energy_mev_per_atom": 1419.7, "raw_formation_energy_ev_per_fu": 8.82, "lattice": [[5.093, 0.000, 0.000], [0.000, 5.093, 0.000], [0.000, 0.000, 5.125]], "species": ["P", "P", "Tl", "Co", "S"], "fractional_positions": [[0.000, 0.500, 0.000], [0.500, 0.000, 0.000], [0.000, 0.000, 0.000], [0.500, 0.500, 0.500], [0.000, 0.000, 0.500]]}

=====

{"formula": "CaDy2HoHg4", "functional": "PBE", "state": "relaxed", "spacegroup": "R-3m", "formation_energy_kj_per_mol_atoms": -49.4, "lattice": [[-2.357, 1.928, 4.294], [0.741, -2.311, 4.671], [6.249, 4.960, 4.429]], "species": ["Ca", "Dy", "Dy", "Ho", "Hg", "Hg", "Hg", "Hg"], "fractional_positions": [[0.000, 0.000, 0.000], [0.749, 0.749, 0.754], [0.251, 0.251, 0.246], [0.500, 0.500, 0.500], [0.377, 0.377, 0.870], [0.874, 0.874, 0.379], [0.126, 0.126, 0.621], [0.623, 0.623, 0.130]]}

=====

{"formula": "CeYPd14", "functional": "PBE", "state": "relaxed", "spacegroup": "P4/mmm", "formation_energy_kj_per_mol_atoms": -40.1, "lattice": [[5.808, -0.012, 0.000], [0.012, 5.808, 0.000], [0.000, 0.000, 7.878]], "species": ["Ce", "Y", "Pd", "Pd", "Pd", "Pd", "Pd", "Pd", "Pd", "Pd", "Pd", "Pd", "Pd", "Pd", "Pd", "Pd"], "fractional_positions": [[0.875, 0.875, 0.500], [0.375, 0.375, 0.500], [0.875, 0.875, 0.000], [0.375, 0.375, 0.000], [0.875, 0.375, 0.500], [0.875, 0.375, 0.000], [0.375, 0.875, 0.500], [0.375, 0.875, 0.000], [0.626, 0.124, 0.242], [0.626, 0.124, 0.758], [0.124, 0.626, 0.242], [0.124, 0.626, 0.758], [0.626, 0.626, 0.242], [0.626, 0.626, 0.758], [0.124, 0.124, 0.242], [0.124, 0.124, 0.758]]}

=====

{"formula": "CaMoOs", "functional": "PBE", "state": "relaxed", "spacegroup": "Fmm2", "relative_energy_mev_per_atom": 0.0, "formation_energy_kj_per_mol_atoms": 65.1, "lattice": [[-2.283, 6.151, -3.836], [-4.247, 4.193, -4.399], [-0.923, 1.781, 1.996]], "species": ["Mo", "Os", "Ca"], "fractional_positions": [[0.682, 0.682, 0.318], [0.323, 0.323, 0.677], [0.995, 0.995, 0.005]]}

=====

{"formula": "AcMg2Zn4", "functional": "PBE", "state": "relaxed", "spacegroup": "I4/mmm", "formation_energy_kj_per_mol_atoms": -20.6, "lattice": [[4.957, 0.000, 2.862], [2.478, 5.047, 1.431], [-0.045, 0.000, 5.802]], "species": ["Ac", "Mg", "Mg", "Zn", "Zn", "Zn", "Zn"], "fractional_positions": [[0.000, 0.000, 0.000], [0.750, 0.500, 0.500], [0.250, 0.500, 0.500], [0.686, 0.000, 0.629], [0.314, 0.000, 0.371], [0.314, 0.371, 0.000], [0.686, 0.629, 0.000]]}

=====

{"formula": "Sm2PtI", "functional": "PBE", "state": "relaxed", "spacegroup": "R3m", "relative_energy_mev_per_atom": 13.8, "raw_formation_energy_ev_per_fu": -4.45, "lattice": [[4.230, 0.000, 0.000], [2.115, 3.663, 0.000], [2.115, 1.221, 8.074]], "species": ["Sm", "Sm", "Pt", "I"], "fractional_positions": [[0.062, 0.062, 0.815], [0.273, 0.273, 0.182], [0.667, 0.667, 0.999], [0.498, 0.498, 0.505]]}

=====

{"formula": "ZrTe", "functional": "PBE", "state": "relaxed", "spacegroup": "Cmme", "raw_formation_energy_ev_per_fu": -1.03, "lattice": [[-2.321, -1.066, 2.195], [0.330, -2.351, -2.389], [7.498, -4.690, 5.649]], "species": ["Te", "Te", "Zr", "Zr"], "fractional_positions": [[0.000, 0.000, 0.066], [0.500, 0.500, 0.684], [0.000, 0.000, 0.487], [0.500, 0.500, 0.263]]}

=====

{"formula": "K2BaFe", "functional": "PBE", "state": "relaxed", "spacegroup": "Cmm2", "relative_energy_mev_per_atom": 0.0, "formation_energy_kj_per_mol_atoms": 57.8, "lattice": [[-1.866, -3.452, -1.162], [3.735, -1.641, -0.325], [-0.548, -3.459, 11.154]], "species": ["Ba", "Fe", "K", "K"], "fractional_positions": [[0.000, 0.000, 0.582], [0.500, 0.500, 0.731], [0.000, 0.000, 0.926], [0.500, 0.500, 0.261]]}

=====

{"formula": "Ca3CrSe", "functional": "PBE", "state": "relaxed", "spacegroup": "Pm-3m", "relative_energy_mev_per_atom": 0.0, "raw_formation_energy_ev_per_fu": -1.20, "lattice": [[-0.420, 0.505, 5.541], [-4.421, -3.403, -0.025], [3.377, -4.393, 0.656]], "species": ["Cr", "Ca", "Ca", "Ca", "Se"], "fractional_positions": [[0.500, 0.500, 0.500], [0.000, 0.500, 0.000], [0.000, 0.000, 0.500], [0.500, 0.000, 0.000], [0.000, 0.000, 0.000]]}

=====

{"formula": "DyHo2Zn2Ge2", "functional": "PBE", "state": "relaxed", "spacegroup": "R-3m", "formation_energy_kj_per_mol_atoms": -42.4, "lattice": [[4.119, 0.000, 0.000], [2.060, 3.568, 0.000], [2.060, 1.189, 11.011]], "species": ["Dy", "Ho", "Ho", "Zn", "Zn", "Ge", "Ge"], "fractional_positions": [[0.000, 0.000, 0.000], [0.124, 0.124, 0.629], [0.876, 0.876, 0.371], [0.611, 0.611, 0.168], [0.389, 0.389, 0.832], [0.736, 0.736, 0.793], [0.264, 0.264, 0.207]]}